(1)
Below is a relaxed structure of ErMgCuSe3, with properties calculated at the GGA-PBE level.

Output
As for the total energy: -0.333 Ry per atom. The value obtained for the total magnetization is 0.01 μB/cell.

Lattice parameters (Å, degrees): 10.5724 6.6844 6.6844 33.37 90.00 90.00
With the nearest neighbours (Å) after each atom.
Element x y z (fractional)
Cu 0.0000 0.4777 0.4777  4 Se 2.44-2.49
Cu 0.5000 0.5223 0.5223  4 Se 2.44-2.49
Er 0.2500 0.0000 0.0000  6 Se 2.82-2.95
Er 0.7500 0.0000 0.0000  6 Se 2.82-2.95
Mg 0.5000 0.2306 0.2306  6 Se 2.85-2.88
Mg 0.0000 0.7694 0.7694  6 Se 2.85-2.88
Se 0.0000 0.1018 0.1018  2 Cu 2.49
Se 0.1728 0.3518 0.3518  1 Cu 2.44
Se 0.8272 0.3518 0.3518  1 Cu 2.44
Se 0.3272 0.6482 0.6482  1 Cu 2.44
Se 0.6728 0.6482 0.6482  1 Cu 2.44
Se 0.5000 0.8982 0.8982  2 Cu 2.49


(2)
Below is a relaxed structure of Nb3InS5, with properties calculated at the GGA-PBE level.

Output
As for the total energy: -0.482 Ry per atom. The value obtained for the total magnetization is 0.10 μB/cell.

Lattice parameters (Å, degrees): 5.6754 5.6754 7.2508 90.00 90.00 120.00
With the nearest neighbours (Å) after each atom.
Element x y z (fractional)
In 0.0000 0.0000 0.0000  14 S 3.63-3.70
Nb 0.5000 0.0000 0.5000  4 S 2.51
Nb 0.0000 0.5000 0.5000  4 S 2.51
Nb 0.5000 0.5000 0.5000  4 S 2.51
S 0.6667 0.3333 0.2370  3 Nb 2.51
S 0.3333 0.6667 0.2370  3 Nb 2.51
S 0.0000 0.0000 0.5000  6 Nb 2.84
S 0.6667 0.3333 0.7630  3 Nb 2.51
S 0.3333 0.6667 0.7630  3 Nb 2.51


(3)
Below is a relaxed structure of CsSnAu3O4, with properties calculated at the GGA-PBE level.

Output
As for the total energy: -0.302 Ry per atom.

Lattice parameters (Å, degrees): 5.8933 5.8933 5.8933 90.00 90.00 90.00
With the nearest neighbours (Å) after each atom.
Element x y z (fractional)
Au 0.5000 0.5000 0.0000  4 O 2.43
Au 0.5000 0.0000 0.5000  4 O 2.43
Au 0.0000 0.5000 0.5000  4 O 2.43
Cs 0.0000 0.0000 0.0000  4 O 3.09
O 0.3028 0.3028 0.3028  1 Sn 2.01
O 0.6972 0.6972 0.3028  1 Sn 2.01
O 0.6972 0.3028 0.6972  1 Sn 2.01
O 0.3028 0.6972 0.6972  1 Sn 2.01
Sn 0.5000 0.5000 0.5000  4 O 2.01


(4)
Below is a relaxed structure of PrNdSe2, with properties calculated at the GGA-PBE level.

Output
As for the total energy: -0.439 Ry per atom. The value obtained for the total magnetization is 0.01 μB/cell.

Lattice parameters (Å, degrees): 4.2403 4.2403 6.0000 90.00 90.00 90.00
With the nearest neighbours (Å) after each atom.
Element x y z (fractional)
Nd 0.5000 0.5000 0.5000  6 Se 3.00
Pr 0.0000 0.0000 0.0000  6 Se 3.00
Se 0.5000 0.5000 0.0000  4 Pr 3.00, 2 Nd 3.00
Se 0.0000 0.0000 0.5000  4 Nd 3.00, 2 Pr 3.00


(5)
Below is a relaxed structure of SbAuSO, with properties calculated at the GGA-PBE level.

Output
As for the total energy: -0.336 Ry per atom.

Lattice parameters (Å, degrees): 6.7903 7.7023 6.3660 90.00 91.38 90.00
With the nearest neighbours (Å) after each atom.
Element x y z (fractional)
Au 0.0338 0.5851 0.2040  2 S 2.33-2.37
Au 0.9662 0.0851 0.2960  2 S 2.33-2.37
Au 0.0338 0.9149 0.7040  2 S 2.33-2.37
Au 0.9662 0.4149 0.7960  2 S 2.33-2.37
O 0.5811 0.2961 0.0178  2 Sb 2.03-2.06
O 0.4189 0.7961 0.4822  2 Sb 2.03-2.06
O 0.5811 0.2039 0.5178  2 Sb 2.03-2.06
O 0.4189 0.7039 0.9822  2 Sb 2.03-2.06
S 0.8369 0.8346 0.1427  2 Au 2.33-2.37, 1 Sb 2.59
S 0.1631 0.3346 0.3573  2 Au 2.33-2.37, 1 Sb 2.59
S 0.8369 0.6654 0.6427  2 Au 2.33-2.37, 1 Sb 2.59
S 0.1631 0.1654 0.8573  2 Au 2.33-2.37, 1 Sb 2.59
Sb 0.4499 0.1421 0.2331  2 O 2.03-2.06
Sb 0.5501 0.6421 0.2669  2 O 2.03-2.06
Sb 0.4499 0.3579 0.7331  2 O 2.03-2.06
Sb 0.5501 0.8579 0.7669  2 O 2.03-2.06


(6)
Below is a relaxed structure of Y2Zr4Sb3N3, with properties calculated at the GGA-PBE level.

Output
As for the total energy: -0.600 Ry per atom. The value obtained for the total magnetization is 0.04 μB/cell.

Lattice parameters (Å, degrees): 6.0286 6.0286 14.5005 102.07 102.07 59.97
With the nearest neighbours (Å) after each atom.
Element x y z (fractional)
N 0.5000 0.0000 0.0000  4 Zr 2.31, 2 Y 2.43
N 0.8399 0.3301 0.0000  4 Zr 2.31-2.32, 2 Y 2.43
N 0.1601 0.6699 0.0000  4 Zr 2.31-2.32, 2 Y 2.43
N 0.3301 0.8399 0.5000  4 Zr 2.31-2.32, 2 Y 2.43
N 0.0000 0.5000 0.5000  4 Zr 2.31, 2 Y 2.43
N 0.6699 0.1601 0.5000  4 Zr 2.31-2.32, 2 Y 2.43
Sb 0.2243 0.4153 0.2489  4 Zr 3.04-3.05, 2 Y 3.07-3.08, 4 Sb 3.35
Sb 0.9432 0.0568 0.2500  4 Zr 3.05-3.06, 2 Y 3.09, 4 Sb 3.35
Sb 0.5847 0.7757 0.2511  4 Zr 3.04-3.05, 2 Y 3.07-3.08, 4 Sb 3.35
Sb 0.4153 0.2243 0.7489  4 Zr 3.04-3.05, 2 Y 3.07-3.08, 4 Sb 3.35
Sb 0.0568 0.9432 0.7500  4 Zr 3.05-3.06, 2 Y 3.09, 4 Sb 3.35
Sb 0.7757 0.5847 0.7511  4 Zr 3.04-3.05, 2 Y 3.07-3.08, 4 Sb 3.35
Y 0.5317 0.3690 0.0947  3 N 2.43
Y 0.6310 0.4683 0.4053  3 N 2.43
Y 0.3690 0.5317 0.5947  3 N 2.43
Y 0.4683 0.6310 0.9053  3 N 2.43
Zr 0.1975 0.0253 0.0826  3 N 2.31-2.32
Zr 0.8581 0.6946 0.0826  3 N 2.31-2.32
Zr 0.3054 0.1419 0.4174  3 N 2.31-2.32
Zr 0.9747 0.8025 0.4174  3 N 2.31-2.32
Zr 0.0253 0.1975 0.5826  3 N 2.31-2.32
Zr 0.6946 0.8581 0.5826  3 N 2.31-2.32
Zr 0.1419 0.3054 0.9174  3 N 2.31-2.32
Zr 0.8025 0.9747 0.9174  3 N 2.31-2.32